The following is a PBE-GGA calculation of crystalline Tc3Hg at its relaxed geometry, from Alexandria via LeMat-Bulk.

Output
Offset from the most stable computed form = 0.381 eV per atom
Density = 12.79 g/cm3
Raw total energy = -0.2636 Ha/atom
Space group = Fm-3m, No. 225

```
data_Tc3Hg
_space_group_name_H-M_alt 'P 1'
_space_group_IT_number 1
_cell_length_a 4.4947
_cell_length_b 4.4947
_cell_length_c 4.4947
_cell_angle_alpha 60.00
_cell_angle_beta 60.00
_cell_angle_gamma 60.00
loop_
_space_group_symop_operation_xyz
'x,y,z'
loop_
_atom_site_label
_atom_site_type_symbol
_atom_site_fract_x
_atom_site_fract_y
_atom_site_fract_z
_atom_site_occupancy
Tc1 Tc 0.5000 0.5000 0.5000 1
Tc2 Tc 0.2500 0.2500 0.2500 1
Tc3 Tc 0.7500 0.7500 0.7500 1
Hg1 Hg 0.0000 0.0000 0.0000 1
```


The following is a PBE-GGA calculation of crystalline AlPb3Cl at its relaxed geometry, from Alexandria via LeMat-Bulk.

Output
Offset from the most stable computed form = 0.000 eV per atom
Density = 6.77 g/cm3
E_form (uncorrected) = 206 meV per atom
Raw total energy = -0.1153 Ha/atom
Space group = Pm-3m, No. 221

```
data_AlPb3Cl
_space_group_name_H-M_alt 'P 1'
_space_group_IT_number 1
_cell_length_a 5.5155
_cell_length_b 5.5155
_cell_length_c 5.5155
_cell_angle_alpha 90.00
_cell_angle_beta 90.00
_cell_angle_gamma 90.00
loop_
_space_group_symop_operation_xyz
'x,y,z'
loop_
_atom_site_label
_atom_site_type_symbol
_atom_site_fract_x
_atom_site_fract_y
_atom_site_fract_z
_atom_site_occupancy
Cl1 Cl 0.5000 0.5000 0.5000 1
Pb1 Pb 0.5000 0.0000 0.0000 1
Pb2 Pb 0.0000 0.5000 0.0000 1
Pb3 Pb 0.0000 0.0000 0.5000 1
Al1 Al 0.0000 0.0000 0.0000 1
```